The following is a DFT calculation (GGA-PBE) of a relaxed CdCu2Pb crystal.

a = 3.6093 Å, b = 4.1377 Å, c = 5.3782 Å
α = 90.00°, β = 106.85°, γ = 90.00°
Atoms (fractional coordinates):
1 Cd 0.0000 0.0000 0.0000
2 Cu 0.5634 0.5000 0.1403
3 Cu 0.6978 0.0000 0.4205
4 Pb 0.2714 0.5000 0.5955

**DFT formation energy**: 159 meV/atom
**Spin magnetization**: 0.0 μB per cell
**Crystal system**: monoclinic
**Total energy**: -3.0445 eV/atom
**Relative energy among the computed polymorphs**: 8 meV/atom